Entry 1:
VASP calculation (PBE-GGA) on an optimized crystal structure of SnHg2S2.

abc: 8.103 8.103 3.955
angles: 90.00 90.00 90.00
Sites, in units of the cell vectors:
Sn1 0.000 0.000 0.000
Sn2 0.500 0.500 0.000
Hg1 0.117 0.383 0.500
Hg2 0.383 0.883 0.500
Hg3 0.617 0.117 0.500
Hg4 0.883 0.617 0.500
S1 0.234 0.734 0.000
S2 0.266 0.234 0.000
S3 0.734 0.766 0.000
S4 0.766 0.266 0.000

Properties
N(E_F): 0.37 states/eV/atom
Space group: P4/mbm, No. 127
Formation energy without anion corrections: 0.084 eV per formula unit

***

Entry 2:
VASP calculation (PBE-GGA) on an optimized crystal structure of Li2HfF.

abc: 4.707 4.707 4.707
angles: 60.00 60.00 60.00
Sites, in units of the cell vectors:
Li1 0.250 0.250 0.250
Li2 0.750 0.750 0.750
Hf1 0.000 0.000 0.000
F1 0.500 0.500 0.500

Properties
N(E_F): 0.31 states/eV/atom
Distance to the lowest polymorph of the same formula: 946 meV per atom
Space group: Fm-3m, No. 225
Formation energy without anion corrections: 1.024 eV per formula unit

***

Entry 3:
VASP calculation (PBE-GGA) on an optimized crystal structure of CrAs2Cl.

abc: 6.454 6.454 6.454
angles: 152.09 141.77 47.99
Sites, in units of the cell vectors:
Cr1 0.000 0.000 0.000
As1 0.208 0.708 0.500
As2 0.792 0.292 0.500
Cl1 0.500 0.500 0.000

Properties
N(E_F): 0.54 states/eV/atom
Distance to the lowest polymorph of the same formula: 339 meV per atom
Space group: Immm, No. 71
Formation energy without anion corrections: 0.430 eV per formula unit

***

Entry 4:
VASP calculation (PBE-GGA) on an optimized crystal structure of CaEuCl2.

abc: 8.400 8.400 8.400
angles: 31.73 31.73 31.73
Sites, in units of the cell vectors:
Ca1 0.000 0.000 0.000
Eu1 0.500 0.500 0.500
Cl1 0.116 0.116 0.116
Cl2 0.884 0.884 0.884

Properties
N(E_F): 0.38 states/eV/atom
Space group: R-3m, No. 166
Formation energy without anion corrections: -6.399 eV per formula unit

***

Entry 5:
VASP calculation (PBE-GGA) on an optimized crystal structure of LiY2TaO6.

abc: 5.981 5.981 5.981
angles: 55.59 55.59 55.59
Sites, in units of the cell vectors:
Li1 0.000 0.000 0.000
Y1 0.251 0.251 0.251
Y2 0.752 0.752 0.752
Ta1 0.457 0.457 0.457
O1 0.090 0.652 0.352
O2 0.197 0.545 0.811
O3 0.352 0.090 0.652
O4 0.545 0.811 0.197
O5 0.652 0.352 0.090
O6 0.811 0.197 0.545

Properties
N(E_F): 0.00 states/eV/atom
Space group: R3, No. 146
Formation energy without anion corrections: -31.072 eV per formula unit

***

Entry 6:
VASP calculation (PBE-GGA) on an optimized crystal structure of CsCrGaCo2.

abc: 4.750 4.750 5.209
angles: 90.00 90.00 90.00
Sites, in units of the cell vectors:
Cs1 0.000 0.000 0.000
Cr1 0.000 0.000 0.500
Ga1 0.500 0.500 0.500
Co1 0.000 0.500 0.000
Co2 0.500 0.000 0.000

Properties
N(E_F): 1.32 states/eV/atom
Calculated formation energy: 2.32 eV/atom
Space group: P4/mmm, No. 123

***

Entry 7:
VASP calculation (PBE-GGA) on an optimized crystal structure of MgSiSn.

abc: 5.466 5.467 5.649
angles: 107.28 101.82 117.82
Sites, in units of the cell vectors:
Mg1 0.000 0.000 0.000
Mg2 0.161 0.477 0.645
Si1 0.140 0.605 0.176
Si2 0.566 0.034 0.176
Sn1 0.524 0.190 0.721
Sn2 0.719 0.658 0.380

Properties
N(E_F): 0.27 states/eV/atom
Distance to the lowest polymorph of the same formula: 71 meV per atom
Space group: P1, No. 1
Formation energy without anion corrections: 0.259 eV per formula unit

***

Entry 8:
VASP calculation (PBE-GGA) on an optimized crystal structure of Ag2TeAs.

abc: 4.961 4.961 4.961
angles: 60.00 60.00 60.00
Sites, in units of the cell vectors:
Ag1 0.250 0.250 0.250
Ag2 0.750 0.750 0.750
Te1 0.000 0.000 0.000
As1 0.500 0.500 0.500

Properties
N(E_F): 0.68 states/eV/atom
Distance to the lowest polymorph of the same formula: 232 meV per atom
Space group: Fm-3m, No. 225
Formation energy without anion corrections: 1.276 eV per formula unit

***

Entry 9:
VASP calculation (PBE-GGA) on an optimized crystal structure of Sm7Cd2Sn2.

abc: 6.913 6.913 8.011
angles: 90.00 90.00 110.48
Sites, in units of the cell vectors:
Sm1 0.000 0.000 0.000
Sm2 0.000 0.500 0.294
Sm3 0.000 0.500 0.706
Sm4 0.500 0.000 0.294
Sm5 0.500 0.000 0.706
Sm6 0.500 0.500 0.251
Sm7 0.500 0.500 0.749
Cd1 0.284 0.716 0.000
Cd2 0.716 0.284 0.000
Sn1 0.183 0.183 0.500
Sn2 0.817 0.817 0.500

Properties
N(E_F): 1.47 states/eV/atom
Calculated formation energy: -0.08 eV/atom
Space group: Cmmm, No. 65

***

Entry 10:
VASP calculation (PBE-GGA) on an optimized crystal structure of RbBa2PrTe4.

abc: 8.386 4.890 8.628
angles: 90.00 108.65 90.00
Sites, in units of the cell vectors:
Rb1 0.000 0.000 0.000
Ba1 0.500 0.000 0.500
Ba2 0.500 0.500 0.000
Pr1 0.000 0.500 0.500
Te1 0.231 0.000 0.727
Te2 0.242 0.500 0.273
Te3 0.758 0.500 0.727
Te4 0.769 0.000 0.273

Properties
Space group: P2/m, No. 10
Formation energy without anion corrections: -12.175 eV per formula unit

***

Copy entry 7 word for word.
VASP calculation (PBE-GGA) on an optimized crystal structure of MgSiSn.

abc: 5.466 5.467 5.649
angles: 107.28 101.82 117.82
Sites, in units of the cell vectors:
Mg1 0.000 0.000 0.000
Mg2 0.161 0.477 0.645
Si1 0.140 0.605 0.176
Si2 0.566 0.034 0.176
Sn1 0.524 0.190 0.721
Sn2 0.719 0.658 0.380

Properties
N(E_F): 0.27 states/eV/atom
Distance to the lowest polymorph of the same formula: 71 meV per atom
Space group: P1, No. 1
Formation energy without anion corrections: 0.259 eV per formula unit